Record 1
The following is a PBE calculation of Fe5Pd5Pt2 after structural relaxation, from Alexandria.

## Properties
E_form in eV/atom: -0.07

a = 6.6010 Å, b = 6.6010 Å, c = 7.2802 Å
α = 118.65°, β = 118.65°, γ = 39.18°
With the nearest neighbours (Å) after each atom.
Atoms (fractional coordinates):
Fe (0.0000, 0.0000, 0.0000)  4 Fe 2.45-2.53, 4 Pd 2.61
Fe (0.0771, 0.0771, 0.3839)  1 Fe 2.45, 2 Pt 2.51-2.59, 5 Pd 2.59-2.71
Fe (0.2364, 0.2364, 0.2060)  1 Fe 2.53, 3 Pt 2.57-2.67, 3 Pd 2.71-2.77
Fe (0.7636, 0.7636, 0.7940)  1 Fe 2.53, 3 Pt 2.57-2.67, 3 Pd 2.71-2.77
Fe (0.9229, 0.9229, 0.6161)  1 Fe 2.45, 2 Pt 2.51-2.59, 5 Pd 2.59-2.71
Pd (0.3199, 0.3199, 0.6300)  6 Fe 2.59-2.77, 5 Pd 2.79-2.89, 1 Pt 2.80
Pd (0.4147, 0.4147, 0.0692)  3 Fe 2.61-2.86, 4 Pd 2.75-2.89, 3 Pt 2.77-2.79
Pd (0.5000, 0.5000, 0.5000)  6 Fe 2.71-2.86, 4 Pd 2.75-2.84, 4 Pt 2.99
Pd (0.5853, 0.5853, 0.9308)  3 Fe 2.61-2.86, 4 Pd 2.75-2.89, 3 Pt 2.77-2.79
Pd (0.6801, 0.6801, 0.3700)  6 Fe 2.59-2.77, 5 Pd 2.79-2.89, 1 Pt 2.80
Pt (0.1568, 0.1568, 0.7896)  5 Fe 2.51-2.67, 4 Pd 2.77-2.80
Pt (0.8432, 0.8432, 0.2104)  5 Fe 2.51-2.67, 4 Pd 2.77-2.80

***

Record 2
The following is a PBE calculation of Sm4HoAl2 after structural relaxation, from Alexandria.

## Properties
E_form in eV/atom: -0.18
Excess energy over the best structure of this formula in the dataset in meV/atom: 0

a = 8.5948 Å, b = 8.5948 Å, c = 8.5948 Å
α = 36.10°, β = 36.10°, γ = 36.10°
With the nearest neighbours (Å) after each atom.
Atoms (fractional coordinates):
Sm (0.0876, 0.0876, 0.0876)  4 Al 3.14-3.18
Sm (0.3481, 0.3481, 0.3481)  1 Al 3.09, 3 Sm 3.16
Sm (0.6519, 0.6519, 0.6519)  1 Al 3.09, 3 Sm 3.16
Sm (0.9124, 0.9124, 0.9124)  4 Al 3.14-3.18
Ho (0.5000, 0.5000, 0.5000)  6 Al 3.33, 8 Sm 3.62-3.66
Al (0.2196, 0.2196, 0.2196)  5 Sm 3.09-3.18, 3 Ho 3.33
Al (0.7804, 0.7804, 0.7804)  5 Sm 3.09-3.18, 3 Ho 3.33

***

Record 3
The following is a PBE calculation of NbFeAgC2 after structural relaxation, from Alexandria.

## Properties
E_form in eV/atom: 1.67

a = 3.7582 Å, b = 3.7582 Å, c = 4.8284 Å
α = 90.00°, β = 90.00°, γ = 90.00°
With the nearest neighbours (Å) after each atom.
Atoms (fractional coordinates):
Nb (0.0000, 0.0000, 0.0000)  4 Ag 2.66
Fe (0.5000, 0.5000, 0.5000)  4 C 1.88
Ag (0.5000, 0.5000, 0.0000)  2 Fe 2.41, 4 Nb 2.66
C (0.0000, 0.5000, 0.5000)  2 Fe 1.88
C (0.5000, 0.0000, 0.5000)  2 Fe 1.88

***

Record 4
The following is a PBE calculation of Ac5Ag4Pd after structural relaxation, from Alexandria.

## Properties
E_form in eV/atom: -0.35

a = 3.9111 Å, b = 3.9111 Å, c = 19.8842 Å
α = 90.00°, β = 90.00°, γ = 90.00°
With the nearest neighbours (Å) after each atom.
Atoms (fractional coordinates):
Ac (0.0000, 0.0000, 0.0000)  8 Ag 3.42
Ac (0.0000, 0.0000, 0.2030)  8 Ag 3.41-3.42
Ac (0.0000, 0.0000, 0.4076)  4 Pd 3.32, 4 Ag 3.46, 1 Ac 3.67
Ac (0.0000, 0.0000, 0.5924)  4 Pd 3.32, 4 Ag 3.46, 1 Ac 3.67
Ac (0.0000, 0.0000, 0.7970)  8 Ag 3.41-3.42
Ag (0.5000, 0.5000, 0.1015)  8 Ac 3.42
Ag (0.5000, 0.5000, 0.3032)  8 Ac 3.41-3.46
Ag (0.5000, 0.5000, 0.6968)  8 Ac 3.41-3.46
Ag (0.5000, 0.5000, 0.8985)  8 Ac 3.42
Pd (0.5000, 0.5000, 0.5000)  8 Ac 3.32

***

Record 5
The following is a PBE calculation of CaMoW2 after structural relaxation, from Alexandria.

## Properties
E_form in eV/atom: 1.54
Excess energy over the best structure of this formula in the dataset in meV/atom: 1022

a = 9.5308 Å, b = 9.5308 Å, c = 9.5308 Å
α = 150.83°, β = 150.83°, γ = 41.72°
With the nearest neighbours (Å) after each atom.
Atoms (fractional coordinates):
Ca (0.0000, 0.0000, 0.0000)  4 W 3.28, 4 Mo 3.39
Ca (0.7500, 0.2500, 0.5000)  4 W 3.28, 4 Mo 3.39
Mo (0.2500, 0.7500, 0.5000)  4 W 2.55
Mo (0.5000, 0.5000, 0.0000)  4 W 2.55
W (0.3112, 0.6250, 0.1862)  2 W 2.48, 2 Mo 2.55
W (0.3750, 0.5612, 0.6862)  2 W 2.48, 2 Mo 2.55
W (0.4388, 0.1250, 0.8138)  2 W 2.48, 2 Mo 2.55
W (0.8750, 0.6888, 0.3138)  2 W 2.48, 2 Mo 2.55

***

Record 6
The following is a PBE calculation of CoAsW2 after structural relaxation, from Alexandria.

## Properties
E_form in eV/atom: 0.40

a = 2.8807 Å, b = 3.8741 Å, c = 5.2144 Å
α = 90.00°, β = 90.00°, γ = 90.00°
With the nearest neighbours (Å) after each atom.
Atoms (fractional coordinates):
Co (0.0000, 0.0000, 0.0000)  2 As 2.61, 8 W 2.73, 2 Co 2.88
As (0.0000, 0.0000, 0.5000)  2 Co 2.61, 8 W 2.76, 2 As 2.88
W (0.5000, 0.5000, 0.2443)  2 W 2.55-2.67, 4 Co 2.73, 4 As 2.76
W (0.5000, 0.5000, 0.7557)  2 W 2.55-2.67, 4 Co 2.73, 4 As 2.76

***

Number 1: E -6.770 eV/atom. Number 2: E -4.601 eV/atom. Number 3: E -6.298 eV/atom. Number 4: E -4.059 eV/atom. Number 5: E -8.143 eV/atom. Number 6: E -9.014 eV/atom.